Record 1
Compound: KCu2Os
Source: the Alexandria database
Functional: PBE-GGA
Structure: optimized geometry

Results
formation enthalpy at 0 K	1307	meV/atom

a b c (Å): 4.628 4.628 4.628
angles (deg): 60.00 60.00 60.00
Fractional coordinates of all 4 atoms:
1 K 0.000 0.000 0.000
2 Cu 0.250 0.250 0.250
3 Cu 0.750 0.750 0.750
4 Os 0.500 0.500 0.500


Record 2
Compound: CeErGa
Source: the Alexandria database
Functional: PBE-GGA
Structure: optimized geometry

Results
formation enthalpy at 0 K	-295	meV/atom

a b c (Å): 3.416 3.416 7.076
angles (deg): 103.97 103.97 90.00
Fractional coordinates of all 3 atoms:
1 Ga 0.663 0.663 0.325
2 Er 0.023 0.023 0.045
3 Ce 0.315 0.315 0.629


Record 3
Compound: PmEuSi2
Source: the Alexandria database
Functional: PBE-GGA
Structure: optimized geometry

Results
E_form (uncorrected)	-379	meV per atom

a b c (Å): 4.090 4.781 4.781
angles (deg): 90.00 90.00 90.00
Fractional coordinates of all 4 atoms:
1 Pm 0.500 0.500 0.500
2 Eu 0.500 0.000 0.000
3 Si 0.000 0.000 0.500
4 Si 0.000 0.500 0.000


Number 1: distance to the lowest polymorph of the same formula 0.686 eV/atom, size of the total moment 2.1 μB/cell, D(E_F) 1.002 states/eV per atom. Number 2: distance to the lowest polymorph of the same formula 0.000 eV/atom, size of the total moment 0.8 μB/cell, D(E_F) 1.784 states/eV per atom. Number 3: distance to the lowest polymorph of the same formula 0.059 eV/atom, size of the total moment 6.9 μB/cell, D(E_F) 0.482 states/eV per atom.